This record from the Alexandria database describes crystalline PdRhF at its relaxed geometry. The functional is PBE-GGA.

## Properties
Formation energy (no corrections) in meV/atom: -230
N(E_F) in states/eV/f.u.: 3.93

a b c (Å): 12.082 2.743 4.889
angles (deg): 90.00 90.00 90.00
Space group Amm2 (No. 38)
Symmetry-distinct sites (fractional):
Pd  0.000  0.000  0.000 (multiplicity 2)
Pd  0.500  0.000  0.316 (multiplicity 2)
Rh  0.316  0.000  0.979 (multiplicity 4)
F  0.165  0.000  0.498 (multiplicity 4)